The following is a DFT calculation (PBE) of an optimized crystal structure of Hf2TcAgBr.

The uncorrected formation energy is 7.09 eV per formula unit.

The space group is P4/mmm (No. 123) and the conventional cell measures 5.131, 5.131 and 4.996 Å, with angles of 90.00, 90.00 and 90.00 degrees. Symmetry generates all atoms from Hf at (0.000, 0.500, 0.000), Tc at (0.000, 0.000, 0.500), Ag at (0.000, 0.000, 0.000) and Br at (0.500, 0.500, 0.500).